## Sm2Y2Mg (PBE-GGA)

Data for a geometry-optimized Sm2Y2Mg structure.

## Properties
Formation energy: 0.18 eV/atom
Space group: I4_1/amd (141)

abc: 13.1127 13.1127 13.1127
angles: 157.20 157.20 32.46
Last column: nearest neighbours and their distance in Å.
Fractional coordinates of all 10 atoms:
Sm (0.0459, 0.2959, 0.7500)  2 Mg 3.27, 2 Sm 3.47, 2 Y 3.57
Sm (0.2959, 0.0459, 0.2500)  2 Mg 3.27, 2 Sm 3.47, 2 Y 3.57
Sm (0.7041, 0.9541, 0.7500)  2 Mg 3.27, 2 Sm 3.47, 2 Y 3.57
Sm (0.9541, 0.7041, 0.2500)  2 Mg 3.27, 2 Sm 3.47, 2 Y 3.57
Y (0.1985, 0.4485, 0.7500)  2 Mg 3.19, 2 Sm 3.57
Y (0.4485, 0.1985, 0.2500)  2 Mg 3.19, 2 Sm 3.57
Y (0.5515, 0.8015, 0.7500)  2 Mg 3.19, 2 Sm 3.57
Y (0.8015, 0.5515, 0.2500)  2 Mg 3.19, 2 Sm 3.57
Mg (0.1250, 0.8750, 0.2500)  4 Y 3.19, 4 Sm 3.27
Mg (0.8750, 0.1250, 0.7500)  4 Y 3.19, 4 Sm 3.27


## CdAsI2 (PBE-GGA)

Data for a geometry-optimized CdAsI2 structure.

## Properties
Formation energy from raw total energies: 429 meV per atom
Space group: Fm-3m (225)

abc: 5.4226 5.4226 5.4226
angles: 60.00 60.00 60.00
Last column: nearest neighbours and their distance in Å.
Fractional coordinates of all 4 atoms:
Cd (0.0000, 0.0000, 0.0000)  8 I 3.32
As (0.5000, 0.5000, 0.5000)  8 I 3.32
I (0.2500, 0.2500, 0.2500)  4 As 3.32, 4 Cd 3.32
I (0.7500, 0.7500, 0.7500)  4 As 3.32, 4 Cd 3.32


Number 1: energy above the lowest structure with this stoichiometry 210 meV/atom. Number 2: energy above the lowest structure with this stoichiometry 185 meV/atom.